Record 1
Cs2MgNbBr6 after structural relaxation. Source: Alexandria, functional PBE-GGA.

Calculated values
space group = Fm-3m

Cell lengths 7.7433, 7.7433, 7.7433 Å; angles 60.00, 60.00, 60.00 degrees
Positions (direct):
Cs1 0.2500 0.2500 0.2500
Cs2 0.7500 0.7500 0.7500
Mg1 0.0000 0.0000 0.0000
Nb1 0.5000 0.5000 0.5000
Br1 0.2479 0.2479 0.7521
Br2 0.2479 0.7521 0.2479
Br3 0.2479 0.7521 0.7521
Br4 0.7521 0.2479 0.2479
Br5 0.7521 0.2479 0.7521
Br6 0.7521 0.7521 0.2479

---

Record 2
CsNdMgBr6 after structural relaxation. Source: Alexandria, functional PBE-GGA.

Calculated values
space group = P-31c

Cell lengths 7.3410, 7.3410, 16.2507 Å; angles 90.00, 90.00, 120.00 degrees
Positions (direct):
Cs1 0.0000 0.0000 0.0000
Cs2 0.0000 0.0000 0.5000
Nd1 0.3333 0.6667 0.2500
Nd2 0.6667 0.3333 0.7500
Mg1 0.3333 0.6667 0.7500
Mg2 0.6667 0.3333 0.2500
Br1 0.0199 0.3868 0.6504
Br2 0.0199 0.6331 0.8496
Br3 0.3669 0.3868 0.8496
Br4 0.3669 0.9801 0.6504
Br5 0.3868 0.0199 0.1504
Br6 0.3868 0.3669 0.3496
Br7 0.6132 0.6331 0.6504
Br8 0.6132 0.9801 0.8496
Br9 0.6331 0.0199 0.3496
Br10 0.6331 0.6132 0.1504
Br11 0.9801 0.3669 0.1504
Br12 0.9801 0.6132 0.3496

---

Computed values of VASP energy (unit: eV for the cell shown) for the preceding records, in sequence: -36.00; -65.95.